# 1
ScSe2Cl, optimized geometry, DFT PBE-GGA; formation energy (no corrections) = -0.80 eV per atom; ΔE to the lowest computed polymorph = 492.9 meV per atom; uncorrected energy = -4.5866 eV/atom; Fermi-level density of states = 2.38 states/eV per cell; symmetry = Immm
1.0
-3.9003 -4.2959 0.9988
1.1178 -5.4824 -1.8325
1.9346 4.4904 3.2799
Se Cl Sc
2 1 1
direct
0.0345 0.0345 0.0000
0.4655 0.4655 0.0000
0.7500 0.2500 0.5000
0.2500 0.7500 0.5000

=====

# 2
SrAl3Tc, optimized geometry, DFT PBE-GGA; DFT formation energy = 0.606 eV per atom; ΔE to the lowest computed polymorph = 928.6 meV per atom; uncorrected energy = -4.0487 eV/atom; Fermi-level density of states = 6.26 states/eV per cell; symmetry = P6_3/mmc
1.0
-3.1758 0.1856 2.8153
0.7512 -3.6038 -2.1200
11.9238 -5.6463 13.8229
Al Tc Sr
6 2 2
direct
0.3333 0.6667 0.8732
0.3333 0.6667 0.6268
0.6667 0.3333 0.1268
0.0000 0.0000 0.2500
0.0000 0.0000 0.7500
0.6667 0.3333 0.3732
0.6667 0.3333 0.2500
0.3333 0.6667 0.7500
0.0000 0.0000 0.0000
0.0000 0.0000 0.5000

=====

# 3
Cu2Te, optimized geometry, DFT PBE-GGA; formation energy (no corrections) = 0.04 eV per atom; uncorrected energy = -3.7428 eV/atom; Fermi-level density of states = 1.55 states/eV per cell; symmetry = P2_1/m
1.0
4.2415 0.0000 0.0000
0.0000 4.3875 -0.1440
0.0000 -0.0505 5.8489
Te Cu
2 4
direct
0.2500 0.7124 0.7915
0.7500 0.2876 0.2085
0.2500 0.6663 0.2592
0.2500 0.1762 0.5073
0.7500 0.3337 0.7408
0.7500 0.8238 0.4927